# 1
DFT (GGA-PBE) results for a geometry-optimized Cu2MoCl structure.

## Properties
Size of the total moment: 0.000 μB per formula unit
Formation energy from raw total energies: 1.198 eV/f.u.
Distance to the lowest polymorph of the same formula: 102 meV/atom
D(E_F): 4.33 states/eV per cell
ρ: 6.50 Mg/m³

Cell: 2.8651 2.8651 8.0489 Å, 90.00 90.00 90.00°
Closest atoms and distances in Å follow each position.
Space group P4mm (No. 99)
Symmetry-distinct sites (fractional):
Cu 0.0000 0.0000 0.0000 (multiplicity 1)  4 Cu 2.49
Cu 0.5000 0.5000 0.1795 (multiplicity 1)  4 Cu 2.49, 4 Mo 2.68
Mo 0.0000 0.0000 0.3975 (multiplicity 1)  4 Cl 2.61, 4 Cu 2.68, 4 Mo 2.87
Cl 0.5000 0.5000 0.6011 (multiplicity 1)  4 Mo 2.61, 4 Cl 2.87

---

# 2
DFT (GGA-PBE) results for a geometry-optimized CuMo2Cl8 structure.

## Properties
Size of the total moment: 5.007 μB per formula unit
Formation energy from raw total energies: -6.098 eV/f.u.
D(E_F): 10.44 states/eV per cell
ρ: 2.45 Mg/m³

Cell: 11.9878 9.8150 6.2348 Å, 90.00 94.49 90.00°
Closest atoms and distances in Å follow each position.
Space group C2/m (No. 12)
Symmetry-distinct sites (fractional):
Cu 0.0000 0.0000 0.0000 (multiplicity 2)  6 Cl 2.48-2.74
Mo 0.1997 0.0000 0.6521 (multiplicity 4)  4 Cl 2.26-2.32
Cl 0.0949 0.1734 0.7897 (multiplicity 8)  1 Mo 2.32, 1 Cu 2.48
Cl 0.1121 0.5000 0.2798 (multiplicity 4)  1 Mo 2.26
Cl 0.1866 0.0000 0.2836 (multiplicity 4)  1 Mo 2.29

---

# 3
DFT (GGA-PBE) results for a geometry-optimized CuMo2Cl structure.

## Properties
Size of the total moment: 0.000 μB per formula unit
Formation energy from raw total energies: 2.418 eV/f.u.
Distance to the lowest polymorph of the same formula: 368 meV/atom
D(E_F): 4.87 states/eV per cell
ρ: 8.09 Mg/m³

Cell: 10.3524 2.7954 4.5644 Å, 90.00 115.29 90.00°
Closest atoms and distances in Å follow each position.
Space group Cm (No. 8)
Symmetry-distinct sites (fractional):
Cu 0.0000 0.0000 0.0000 (multiplicity 2)  6 Mo 2.68-2.72, 2 Cl 2.78, 2 Cu 2.80
Mo 0.0295 0.5000 0.5266 (multiplicity 2)  2 Cl 2.44, 4 Cu 2.68-2.70
Mo 0.2495 0.5000 0.2418 (multiplicity 2)  4 Cl 2.66-2.69, 2 Cu 2.72, 4 Mo 2.80-2.97
Cl 0.2436 0.0000 0.7405 (multiplicity 2)  6 Mo 2.44-2.69

---

# 4
DFT (GGA-PBE) results for a geometry-optimized CuMoCl2 structure.

## Properties
Size of the total moment: 0.000 μB per formula unit
Formation energy from raw total energies: 1.441 eV/f.u.
Distance to the lowest polymorph of the same formula: 474 meV/atom
D(E_F): 4.65 states/eV per cell
ρ: 5.54 Mg/m³

Cell: 5.9765 7.9074 2.9233 Å, 90.00 90.68 90.00°
Closest atoms and distances in Å follow each position.
Space group C2/m (No. 12)
Symmetry-distinct sites (fractional):
Cu 0.0000 0.0000 0.0000 (multiplicity 2)  4 Cl 2.48
Mo 0.0000 0.5000 0.0000 (multiplicity 2)  4 Cl 2.48
Cl 0.2500 0.2500 0.0000 (multiplicity 4)  2 Mo 2.48, 2 Cu 2.48

---

# 5
DFT (GGA-PBE) results for a geometry-optimized CuMo3Cl structure.

## Properties
Size of the total moment: 0.000 μB per formula unit
Formation energy from raw total energies: 10.036 eV/f.u.
Distance to the lowest polymorph of the same formula: 859 meV/atom
D(E_F): 8.49 states/eV per cell
ρ: 6.58 Mg/m³

Cell: 4.6051 4.6051 4.6051 Å, 90.00 90.00 90.00°
Closest atoms and distances in Å follow each position.
Space group Pm-3m (No. 221)
Symmetry-distinct sites (fractional):
Cu 0.0000 0.0000 0.0000 (multiplicity 1)  6 Mo 2.30
Mo 0.0000 0.0000 0.5000 (multiplicity 3)  2 Cu 2.30
Cl 0.5000 0.5000 0.5000 (multiplicity 1)  12 Mo 3.26

---

# 6
DFT (GGA-PBE) results for a geometry-optimized CuMoCl2 structure.

## Properties
Size of the total moment: 1.170 μB per formula unit
Formation energy from raw total energies: -0.296 eV/f.u.
Distance to the lowest polymorph of the same formula: 39 meV/atom
D(E_F): 5.01 states/eV per cell
ρ: 4.06 Mg/m³

Cell: 2.9504 4.4977 14.2106 Å, 90.00 90.00 90.00°
Closest atoms and distances in Å follow each position.
Space group Immm (No. 71)
Symmetry-distinct sites (fractional):
Cu 0.0000 0.0000 0.0000 (multiplicity 2)  4 Mo 2.69, 2 Cu 2.95, 4 Cl 2.99
Mo 0.0000 0.0000 0.5000 (multiplicity 2)  4 Cl 2.46, 4 Cu 2.69
Cl 0.0000 0.5000 0.1383 (multiplicity 4)  2 Mo 2.46

---

# 7
DFT (GGA-PBE) results for a geometry-optimized CuMo3Cl structure.

## Properties
Size of the total moment: 0.000 μB per formula unit
Formation energy from raw total energies: 5.741 eV/f.u.
Distance to the lowest polymorph of the same formula: 0 meV/atom
D(E_F): 2.77 states/eV per cell
ρ: 7.65 Mg/m³

Cell: 4.3788 4.3788 4.3788 Å, 90.00 90.00 90.00°
Closest atoms and distances in Å follow each position.
Space group Pm-3m (No. 221)
Symmetry-distinct sites (fractional):
Cu 0.0000 0.0000 0.0000 (multiplicity 1)  12 Mo 3.10
Mo 0.0000 0.5000 0.5000 (multiplicity 3)  2 Cl 2.19
Cl 0.5000 0.5000 0.5000 (multiplicity 1)  6 Mo 2.19

---

# 8
DFT (GGA-PBE) results for a geometry-optimized Cu2MoCl structure.

## Properties
Size of the total moment: 1.816 μB per formula unit
Formation energy from raw total energies: 3.049 eV/f.u.
Distance to the lowest polymorph of the same formula: 565 meV/atom
D(E_F): 8.44 states/eV per cell
ρ: 7.17 Mg/m³

Cell: 3.5424 3.5424 9.5397 Å, 90.00 90.00 90.00°
Closest atoms and distances in Å follow each position.
Space group I4/mmm (No. 139)
Symmetry-distinct sites (fractional):
Cu 0.0000 0.5000 0.2500 (multiplicity 4)  4 Cu 2.50
Mo 0.0000 0.0000 0.0000 (multiplicity 2)  4 Cl 2.50
Cl 0.0000 0.0000 0.5000 (multiplicity 2)  4 Mo 2.50

---

# 9
DFT (GGA-PBE) results for a geometry-optimized CuMoCl2 structure.

## Properties
Size of the total moment: 3.256 μB per formula unit
Formation energy from raw total energies: 3.349 eV/f.u.
Distance to the lowest polymorph of the same formula: 951 meV/atom
D(E_F): 29.08 states/eV per cell
ρ: 5.29 Mg/m³

Cell: 6.6134 6.6134 6.6134 Å, 90.00 90.00 90.00°
Closest atoms and distances in Å follow each position.
Space group F-43m (No. 216)
Symmetry-distinct sites (fractional):
Cu 0.0000 0.0000 0.0000 (multiplicity 4)  4 Mo 2.86, 4 Cl 2.86
Mo 0.2500 0.2500 0.7500 (multiplicity 4)  4 Cl 2.86, 4 Cu 2.86
Cl 0.0000 0.0000 0.5000 (multiplicity 4)  4 Cl 2.86, 4 Mo 2.86
Cl 0.2500 0.2500 0.2500 (multiplicity 4)  4 Cl 2.86, 4 Cu 2.86

---

# 10
DFT (GGA-PBE) results for a geometry-optimized CuMoCl structure.

## Properties
Size of the total moment: 0.000 μB per formula unit
Formation energy from raw total energies: 3.248 eV/f.u.
Distance to the lowest polymorph of the same formula: 863 meV/atom
D(E_F): 5.04 states/eV per cell
ρ: 6.92 Mg/m³

Cell: 5.7194 5.7194 5.7194 Å, 90.00 90.00 90.00°
Closest atoms and distances in Å follow each position.
Space group F-43m (No. 216)
Symmetry-distinct sites (fractional):
Cu 0.0000 0.0000 0.0000 (multiplicity 4)  4 Cl 2.48
Mo 0.0000 0.0000 0.5000 (multiplicity 4)  4 Cl 2.48
Cl 0.2500 0.2500 0.2500 (multiplicity 4)  4 Mo 2.48, 4 Cu 2.48

---

# 11
DFT (GGA-PBE) results for a geometry-optimized Cu2MoCl structure.

## Properties
Size of the total moment: 0.000 μB per formula unit
Formation energy from raw total energies: 1.303 eV/f.u.
Distance to the lowest polymorph of the same formula: 129 meV/atom
D(E_F): 5.71 states/eV per cell
ρ: 7.19 Mg/m³

Cell: 3.1965 4.6646 8.0117 Å, 90.00 90.00 90.00°
Closest atoms and distances in Å follow each position.
Space group Cmmm (No. 65)
Symmetry-distinct sites (fractional):
Cu 0.0000 0.0000 0.2419 (multiplicity 4)  2 Cl 2.51, 2 Mo 2.61
Mo 0.0000 0.5000 0.5000 (multiplicity 2)  4 Cu 2.61, 4 Mo 2.83
Cl 0.0000 0.5000 0.0000 (multiplicity 2)  4 Cu 2.51

---

# 12
DFT (GGA-PBE) results for a geometry-optimized CuMoCl2 structure.

## Properties
Size of the total moment: 0.000 μB per formula unit
Formation energy from raw total energies: 1.239 eV/f.u.
Distance to the lowest polymorph of the same formula: 423 meV/atom
D(E_F): 2.47 states/eV per cell
ρ: 5.66 Mg/m³

Cell: 2.9177 4.1199 5.7924 Å, 90.00 103.99 90.00°
Closest atoms and distances in Å follow each position.
Space group P2/m (No. 10)
Symmetry-distinct sites (fractional):
Cu 0.0000 0.0000 0.0000 (multiplicity 1)  4 Cl 2.61, 2 Mo 2.91, 2 Cu 2.92
Mo 0.5000 0.0000 0.5000 (multiplicity 1)  4 Cl 2.49
Cl 0.3804 0.5000 0.2519 (multiplicity 2)  2 Mo 2.49, 2 Cu 2.61

---

- size of the total moment of number 2 (CuMo2Cl8)?
  5.007 μB per formula unit

---

- Which value of formation energy from raw total energies does entry 6 give?
  -0.296 eV/f.u.

---

Repeat the fifth record exactly.
DFT (GGA-PBE) results for a geometry-optimized CuMo3Cl structure.

## Properties
Size of the total moment: 0.000 μB per formula unit
Formation energy from raw total energies: 10.036 eV/f.u.
Distance to the lowest polymorph of the same formula: 859 meV/atom
D(E_F): 8.49 states/eV per cell
ρ: 6.58 Mg/m³

Cell: 4.6051 4.6051 4.6051 Å, 90.00 90.00 90.00°
Closest atoms and distances in Å follow each position.
Space group Pm-3m (No. 221)
Symmetry-distinct sites (fractional):
Cu 0.0000 0.0000 0.0000 (multiplicity 1)  6 Mo 2.30
Mo 0.0000 0.0000 0.5000 (multiplicity 3)  2 Cu 2.30
Cl 0.5000 0.5000 0.5000 (multiplicity 1)  12 Mo 3.26